A geometry-optimized NaNiBi2O structure. Source: the Alexandria database, functional PBE with a Hubbard U.

The calculation puts the energy at -3.442 eV per atom.

```
data_NaNiBi2O
_symmetry_space_group_name_H-M 'P 4/m m m'
_symmetry_Int_Tables_number 123
_symmetry_space_group_name_Hall '-P 4 2'
_cell_length_a 5.217
_cell_length_b 5.217
_cell_length_c 3.896
_cell_angle_alpha 90.00
_cell_angle_beta 90.00
_cell_angle_gamma 90.00
loop_
_atom_site_label
_atom_site_fract_x
_atom_site_fract_y
_atom_site_fract_z
Na1 0.000 0.000 0.000
Ni1 0.500 0.500 0.000
Bi1 0.000 0.500 0.500
O1 0.500 0.500 0.500
```